No. 1
This record from Alexandria describes a relaxed Ac2Ni5C crystal. The functional is PBE. Values from VASP.

Summary:
The crystal system is tetragonal. Its space-group type is I4mm, No. 107. As for the formation energy from the elements: -0.0075 eV/atom.

Geometry as Quantum ESPRESSO input:
```
&SYSTEM
  ibrav = 0, nat = 8, ntyp = 3
/
ATOMIC_SPECIES
Ni 58.69 Ni.upf
Ac 227.00 Ac.upf
C 12.01 C.upf
ATOMIC_POSITIONS angstrom
Ni -1.730 2.614 3.725
Ni -3.127 0.219 3.725
Ni -3.127 3.428 1.473
Ni -1.982 1.156 1.648
Ni 1.458 0.658 0.938
Ac -0.092 3.167 1.203
Ac -0.092 0.054 3.387
C -0.430 0.251 0.357
CELL_PARAMETERS angstrom
5.982 -0.376 -0.535
-3.272 5.022 0.535
-3.272 -1.205 4.904
```

=====

No. 2
This record from Alexandria describes a relaxed AcNi4C2 crystal. The functional is PBE. Values from VASP.

Summary:
The crystal system is orthorhombic. Its space-group type is Cmmm, No. 65. As for the formation energy from the elements: 0.0010 eV/atom.

Geometry as Quantum ESPRESSO input:
```
&SYSTEM
  ibrav = 0, nat = 7, ntyp = 3
/
ATOMIC_SPECIES
C 12.01 C.upf
Ac 227.00 Ac.upf
Ni 58.69 Ni.upf
ATOMIC_POSITIONS angstrom
C -0.672 0.304 5.517
C -2.340 0.048 1.980
Ac 0.000 0.000 0.000
Ni 0.277 -0.946 4.385
Ni -2.174 -0.518 4.605
Ni -1.294 -1.531 2.375
Ni -0.838 0.870 2.892
CELL_PARAMETERS angstrom
-1.995 2.829 0.737
-2.904 -1.985 -0.244
1.888 -0.493 7.005
```

=====

No. 3
This record from Alexandria describes a relaxed AcNiC crystal. The functional is PBE. Values from VASP.

Summary:
The crystal system is tetragonal. Its space-group type is I4/mmm, No. 139. As for the formation energy from the elements: -0.1351 eV/atom.

Geometry as Quantum ESPRESSO input:
```
&SYSTEM
  ibrav = 0, nat = 6, ntyp = 3
/
ATOMIC_SPECIES
C 12.01 C.upf
Ac 227.00 Ac.upf
Ni 58.69 Ni.upf
ATOMIC_POSITIONS angstrom
C 3.223 4.638 0.243
C 0.424 1.837 2.692
Ac -2.377 1.833 3.348
Ac 0.421 -0.964 3.348
Ni 0.421 1.836 0.879
Ni 3.220 -0.961 2.056
CELL_PARAMETERS angstrom
5.600 0.006 -0.001
0.004 5.600 -0.001
-2.802 -2.803 3.762
```

=====

No. 4
This record from Alexandria describes a relaxed AcNi4C4 crystal. The functional is PBE. Values from VASP.

Summary:
The crystal system is tetragonal. Its space-group type is P4_2/n, No. 86. As for the formation energy from the elements: 0.1914 eV/atom.

Geometry as Quantum ESPRESSO input:
```
&SYSTEM
  ibrav = 0, nat = 18, ntyp = 3
/
ATOMIC_SPECIES
C 12.01 C.upf
Ni 58.69 Ni.upf
Ac 227.00 Ac.upf
ATOMIC_POSITIONS angstrom
C 1.234 -2.594 -0.207
C 3.524 -4.076 -4.200
C 4.131 -6.909 -1.245
C 1.020 -2.181 -1.504
C 2.191 -3.762 -4.362
C 4.896 -5.794 -1.515
C 0.342 -5.933 0.104
C 0.694 -6.947 -0.760
Ni 2.366 -7.669 -1.693
Ni -0.666 -3.451 -0.797
Ni 4.396 -6.654 -3.440
Ni 3.096 -2.037 -3.415
Ni 0.655 -2.943 -3.287
Ni 2.189 -6.956 0.808
Ni 4.883 -4.181 -2.773
Ni 1.112 -4.304 0.910
Ac 2.254 -4.774 -1.711
Ac 0.000 0.000 0.000
CELL_PARAMETERS angstrom
-2.264 -1.620 -2.373
5.726 -1.443 -4.477
1.047 -6.485 3.429
```

=====

No. 5
This record from Alexandria describes a relaxed Ac2NiC4 crystal. The functional is PBE. Values from VASP.

Summary:
The crystal system is orthorhombic. Its space-group type is Ibam, No. 72. As for the formation energy from the elements: -0.0295 eV/atom.

Geometry as Quantum ESPRESSO input:
```
&SYSTEM
  ibrav = 0, nat = 14, ntyp = 3
/
ATOMIC_SPECIES
Ni 58.69 Ni.upf
C 12.01 C.upf
Ac 227.00 Ac.upf
ATOMIC_POSITIONS angstrom
Ni -3.401 -1.438 1.895
Ni -1.134 -0.479 0.632
C -3.328 -8.708 5.601
C -2.215 -5.461 4.003
C -2.988 -8.048 6.713
C -0.490 -5.309 7.214
C 0.623 -2.062 5.616
C -0.596 -4.162 7.894
C 0.283 -2.722 4.504
C -2.108 -6.608 3.323
Ac -2.591 -6.328 8.731
Ac -2.124 -3.407 5.725
Ac -0.581 -7.362 5.492
Ac -0.114 -4.442 2.485
CELL_PARAMETERS angstrom
-4.535 -1.918 2.526
0.572 -7.080 1.714
1.259 -1.772 6.976
```

=====

No. 6
This record from Alexandria describes a relaxed Ac2Ni3C crystal. The functional is PBE. Values from VASP.

Summary:
The crystal system is orthorhombic. Its space-group type is Fmmm, No. 69. As for the formation energy from the elements: -0.1114 eV/atom.

Geometry as Quantum ESPRESSO input:
```
&SYSTEM
  ibrav = 0, nat = 12, ntyp = 3
/
ATOMIC_SPECIES
Ac 227.00 Ac.upf
Ni 58.69 Ni.upf
C 12.01 C.upf
ATOMIC_POSITIONS angstrom
Ac -0.729 -4.428 -0.320
Ac -0.532 -0.632 4.463
Ac -3.444 -2.365 1.775
Ac 2.588 -2.454 2.743
Ni -4.303 1.560 3.655
Ni -3.655 -0.839 4.500
Ni 0.327 -4.557 2.584
Ni -0.321 -2.157 1.739
Ni -1.712 0.155 1.755
Ni -2.264 -3.151 4.484
C -3.034 0.275 3.110
C -0.942 -3.271 3.129
CELL_PARAMETERS angstrom
-1.982 -5.174 -1.477
3.841 -1.708 3.899
-5.835 3.885 3.816
```

=====

No. 7
This record from Alexandria describes a relaxed Ac12Ni3C5 crystal. The functional is PBE. Values from VASP.

Summary:
The crystal system is cubic. Its space-group type is Ia-3d, No. 230. As for the formation energy from the elements: 0.1743 eV/atom.

Geometry as Quantum ESPRESSO input:
```
&SYSTEM
  ibrav = 0, nat = 80, ntyp = 3
/
ATOMIC_SPECIES
Ni 58.69 Ni.upf
C 12.01 C.upf
Ac 227.00 Ac.upf
ATOMIC_POSITIONS angstrom
Ni 1.055 5.217 8.057
Ni -7.514 -2.139 5.676
Ni -6.487 2.287 3.226
Ni 2.081 9.643 5.607
Ni -3.237 3.449 10.315
Ni 0.969 11.275 0.838
Ni -6.401 -3.771 10.444
Ni 5.620 7.533 8.715
Ni -11.053 -0.029 2.568
Ni -5.187 7.260 3.693
Ni -2.196 4.055 0.968
Ni -0.246 0.244 7.590
C -2.716 3.752 5.641
C -6.993 -1.836 1.002
C 4.277 5.588 4.639
C 4.320 2.560 8.248
C -6.530 5.315 -0.383
C 3.814 -1.563 6.024
C -0.057 6.849 3.288
C -1.836 -1.456 11.103
C -5.375 0.655 7.995
C -9.752 4.944 3.035
C -2.210 7.875 7.865
C 3.293 -1.866 10.697
C -6.776 5.560 7.207
C -8.726 9.370 0.585
C -3.222 -0.371 3.418
C 0.463 7.152 -1.385
C -3.597 8.960 0.180
C 0.000 0.000 0.000
C -3.179 -3.400 7.027
C 1.344 1.944 4.076
Ac -9.601 2.603 3.971
Ac -5.918 1.673 10.242
Ac -1.117 0.916 10.613
Ac 0.266 8.336 8.057
Ac 3.450 10.367 2.674
Ac 0.485 5.831 1.041
Ac -1.201 9.205 -0.580
Ac -6.964 7.908 6.296
Ac 5.003 8.073 5.604
Ac -8.301 0.597 1.023
Ac -3.281 2.154 3.460
Ac -5.355 4.531 5.390
Ac -4.112 10.011 2.418
Ac -2.261 5.697 3.734
Ac -0.078 2.973 5.893
Ac 2.869 6.907 10.260
Ac -0.157 9.373 3.312
Ac -7.781 9.177 2.920
Ac 1.936 2.282 9.035
Ac -8.937 -2.570 2.823
Ac -3.172 1.807 7.549
Ac -4.316 6.588 0.670
Ac -5.158 3.009 0.274
Ac -4.546 -5.433 12.480
Ac -5.803 5.400 9.532
Ac -1.321 -2.507 8.865
Ac -11.504 5.258 1.242
Ac -0.274 4.495 11.009
Ac -3.336 8.943 5.872
Ac 4.168 4.901 7.312
Ac -10.435 -0.569 5.678
Ac 5.778 -1.445 10.873
Ac -2.151 5.350 7.823
Ac 3.504 10.074 8.460
Ac 1.531 -0.404 4.987
Ac -2.096 -1.439 5.411
Ac -5.698 -0.832 3.226
Ac -4.232 -1.701 11.863
Ac 0.371 2.104 1.751
Ac -7.368 5.222 2.248
Ac 2.348 -1.673 8.363
Ac -5.276 -1.869 7.971
Ac 6.071 2.246 10.041
Ac -0.887 12.936 -1.197
Ac 1.702 6.495 5.065
Ac -11.210 8.949 0.410
Ac -8.883 -2.863 8.609
Ac -7.135 1.009 6.218
CELL_PARAMETERS angstrom
-13.986 -3.673 2.005
7.628 -3.127 12.049
0.926 14.304 -2.771
```

=====

No. 8
This record from Alexandria describes a relaxed Ac2Ni4C crystal. The functional is PBE. Values from VASP.

Summary:
The crystal system is orthorhombic. Its space-group type is Fmm2, No. 42. As for the formation energy from the elements: 0.0177 eV/atom.

Geometry as Quantum ESPRESSO input:
```
&SYSTEM
  ibrav = 0, nat = 7, ntyp = 3
/
ATOMIC_SPECIES
Ni 58.69 Ni.upf
C 12.01 C.upf
Ac 227.00 Ac.upf
ATOMIC_POSITIONS angstrom
Ni -4.020 0.069 -0.022
Ni -1.645 -0.782 -0.076
Ni -4.854 -2.280 -0.420
Ni -0.785 1.607 0.329
C -3.386 -2.173 3.838
Ac -2.323 1.214 -2.237
Ac -2.483 0.461 2.553
CELL_PARAMETERS angstrom
-3.085 -0.761 -5.138
-3.407 -2.269 4.443
1.693 4.738 0.802
```

=====

No. 9
This record from Alexandria describes a relaxed AcNiC crystal. The functional is PBE. Values from VASP.

Summary:
The crystal system is orthorhombic. Its space-group type is Cmce, No. 64. As for the formation energy from the elements: -0.0677 eV/atom.

Geometry as Quantum ESPRESSO input:
```
&SYSTEM
  ibrav = 0, nat = 12, ntyp = 3
/
ATOMIC_SPECIES
Ni 58.69 Ni.upf
C 12.01 C.upf
Ac 227.00 Ac.upf
ATOMIC_POSITIONS angstrom
Ni -2.261 3.649 -0.223
Ni -2.110 1.324 0.529
Ni -7.395 1.235 1.314
Ni -7.245 -1.090 2.066
C -0.661 0.032 0.232
C -2.727 2.897 1.530
C -6.778 -0.338 0.313
C -8.845 2.527 1.611
Ac -6.280 3.342 3.615
Ac -3.225 -0.783 -1.772
Ac -4.383 0.525 2.500
Ac -5.122 2.034 -0.657
CELL_PARAMETERS angstrom
-0.302 4.650 -1.506
-3.721 -3.636 -2.519
-5.482 1.545 5.868
```

=====

No. 10
This record from Alexandria describes a relaxed Ac3Ni4C2 crystal. The functional is PBE. Values from VASP.

Summary:
The crystal system is monoclinic. Its space-group type is C2/m, No. 12. As for the formation energy from the elements: -0.0499 eV/atom.

Geometry as Quantum ESPRESSO input:
```
&SYSTEM
  ibrav = 0, nat = 9, ntyp = 3
/
ATOMIC_SPECIES
C 12.01 C.upf
Ac 227.00 Ac.upf
Ni 58.69 Ni.upf
ATOMIC_POSITIONS angstrom
C -0.378 1.724 2.709
C 3.323 2.525 5.483
Ac 2.117 0.237 4.312
Ac 0.828 4.012 3.881
Ac 0.000 0.000 0.000
Ni 1.595 2.642 6.312
Ni -0.791 -0.133 2.947
Ni 1.350 1.607 1.881
Ni 3.737 4.382 5.246
CELL_PARAMETERS angstrom
-3.298 0.935 1.568
2.899 -3.488 3.646
3.345 6.802 2.978
```

=====

No. 11
This record from Alexandria describes a relaxed AcNi2C2 crystal. The functional is PBE. Values from VASP.

Summary:
The crystal system is orthorhombic. Its space-group type is Cmcm, No. 63. As for the formation energy from the elements: -0.0090 eV/atom.

Geometry as Quantum ESPRESSO input:
```
&SYSTEM
  ibrav = 0, nat = 10, ntyp = 3
/
ATOMIC_SPECIES
Ni 58.69 Ni.upf
Ac 227.00 Ac.upf
C 12.01 C.upf
ATOMIC_POSITIONS angstrom
Ni -0.620 2.731 4.368
Ni -0.458 3.562 1.960
Ni -1.835 1.943 0.339
Ni 0.758 4.350 5.989
Ac -3.289 3.008 2.715
Ac 2.211 3.285 3.613
C -0.004 5.449 4.487
C -0.353 1.692 2.688
C -0.725 4.602 3.640
C -1.074 0.844 1.840
CELL_PARAMETERS angstrom
-1.131 3.001 -2.037
-3.602 -1.004 4.064
3.655 4.296 4.300
```

=====

No. 12
This record from Alexandria describes a relaxed AcNiC crystal. The functional is PBE. Values from VASP.

Summary:
The crystal system is monoclinic. Its space-group type is C2/m, No. 12. As for the formation energy from the elements: 0.2805 eV/atom.

Geometry as Quantum ESPRESSO input:
```
&SYSTEM
  ibrav = 0, nat = 6, ntyp = 3
/
ATOMIC_SPECIES
Ni 58.69 Ni.upf
C 12.01 C.upf
Ac 227.00 Ac.upf
ATOMIC_POSITIONS angstrom
Ni -7.009 -4.162 -2.094
Ni -1.317 -0.794 -1.654
C -5.609 -3.341 -2.782
C -2.717 -1.615 -0.966
Ac -4.837 -2.857 0.086
Ac -3.489 -2.099 -3.834
CELL_PARAMETERS angstrom
-2.437 1.811 -2.737
0.434 -3.048 -2.689
-6.323 -3.719 1.678
```